No. 1
6
Lattice="-2.050 3.140 7.157 2.050 -3.140 7.157 2.050 3.140 -7.157" Properties=species:S:1:pos:R:3 comment="Y3SbPb2 PBE-GGA optimized geometry" total_energy_ev_per_atom=-5.785 dos_at_fermi_per_ev_cell=5.19 e_form_raw_ev_per_atom=-0.630 pbc="T T T"
Y 0.000 0.000 0.000
Y 0.000 0.000 4.887
Y 0.000 0.000 9.426
Sb 0.000 3.140 0.000
Pb 2.050 0.000 2.437
Pb 0.000 3.140 4.720

***

No. 2
8
Lattice="6.233 0.000 0.000 0.000 6.233 0.000 0.000 0.000 6.233" Properties=species:S:1:pos:R:3 comment="Y4Sb3Pb PBE-GGA optimized geometry" total_energy_ev_per_atom=-6.199 dos_at_fermi_per_ev_cell=3.44 e_form_raw_ev_per_atom=-0.957 pbc="T T T"
Y 0.000 0.000 0.000
Y 0.000 3.116 3.116
Y 3.116 0.000 3.116
Y 3.116 3.116 0.000
Sb 0.000 0.000 3.116
Sb 0.000 3.116 0.000
Sb 3.116 0.000 0.000
Pb 3.116 3.116 3.116

***

No. 3
16
Lattice="9.032 0.000 0.000 -4.516 7.822 0.000 0.000 0.000 6.482" Properties=species:S:1:pos:R:3 comment="Y10Sb3Pb3 PBE-GGA optimized geometry" total_energy_ev_per_atom=-6.284 dos_at_fermi_per_ev_cell=10.81 e_form_raw_ev_per_atom=-0.776 pbc="T T T"
Y -1.088 1.885 0.000
Y -3.421 5.926 3.241
Y 2.176 0.000 0.000
Y 1.095 1.896 3.241
Y 0.000 5.214 1.641
Y 0.000 5.214 4.841
Y 4.516 2.607 1.641
Y 4.516 2.607 4.841
Y 6.842 0.000 3.241
Y 3.428 5.937 0.000
Sb -1.762 3.051 3.241
Sb 3.523 0.000 3.241
Sb 2.754 4.770 3.241
Pb -2.742 4.749 0.000
Pb 1.774 3.072 0.000
Pb 5.484 0.000 0.000

***

No. 4
4
Lattice="4.750 0.000 0.000 0.000 2.064 6.016 0.000 -2.064 6.016" Properties=species:S:1:pos:R:3 comment="YSb2Pb PBE-GGA optimized geometry" total_energy_ev_per_atom=-5.057 dos_at_fermi_per_ev_cell=1.96 e_form_raw_ev_per_atom=-0.453 pbc="T T T"
Y 0.000 0.000 0.000
Sb 0.000 0.000 3.385
Sb 2.375 0.000 6.606
Pb 2.375 0.000 9.566

***

No. 5
4
Lattice="3.569 0.000 0.000 0.000 3.569 0.000 0.000 0.000 9.188" Properties=species:S:1:pos:R:3 comment="YSbPb2 PBE-GGA optimized geometry" total_energy_ev_per_atom=-4.521 dos_at_fermi_per_ev_cell=3.40 e_form_raw_ev_per_atom=-0.020 pbc="T T T"
Y 0.000 0.000 0.000
Sb 0.000 0.000 4.594
Pb 1.785 1.785 2.296
Pb 1.785 1.785 6.892

***

No. 6
4
Lattice="-2.981 2.981 3.226 2.981 -2.981 3.226 2.981 2.981 -3.226" Properties=species:S:1:pos:R:3 comment="YSb2Pb PBE-GGA optimized geometry" total_energy_ev_per_atom=-5.005 dos_at_fermi_per_ev_cell=2.59 e_form_raw_ev_per_atom=-0.401 pbc="T T T"
Y 0.000 0.000 0.000
Sb 2.981 0.000 1.613
Sb 0.000 2.981 1.613
Pb 0.000 0.000 3.226

***

No. 7
4
Lattice="6.005 -2.268 0.000 6.005 2.268 0.000 -1.752 0.000 4.248" Properties=species:S:1:pos:R:3 comment="YSbPb2 PBE-GGA optimized geometry" total_energy_ev_per_atom=-4.872 dos_at_fermi_per_ev_cell=2.77 e_form_raw_ev_per_atom=-0.371 pbc="T T T"
Y 0.000 0.000 0.000
Sb 5.129 0.000 2.124
Pb 1.677 0.000 3.181
Pb 8.581 0.000 1.067

***

No. 8
8
Lattice="2.243 -12.058 0.000 2.243 12.058 0.000 0.000 0.000 4.394" Properties=species:S:1:pos:R:3 comment="Y2SbPb PBE-GGA optimized geometry" total_energy_ev_per_atom=-6.032 relative_energy_mev_per_atom=0 dos_at_fermi_per_ev_cell=2.89 e_form_raw_ev_per_atom=-0.842 pbc="T T T"
Y 2.243 10.546 3.296
Y 2.243 4.487 3.296
Y 2.243 -4.487 1.099
Y 2.243 -10.546 1.099
Sb 2.243 7.538 3.296
Sb 2.243 -7.538 1.099
Pb 2.243 1.202 3.296
Pb 2.243 -1.202 1.099